Record 1
Entry from the Alexandria database: crystalline HgAs2Pb at its relaxed geometry (PBE).

Unit cell a=3.030 b=3.649 c=9.524 alpha=90.00 beta=94.09 gamma=90.00
Space group Pm (No. 6)
One atom of each set of equivalent atoms:
Hg (0.000, 0.000, 0.000) [1 per cell]
As (0.012, 0.000, 0.445) [1 per cell]
As (0.942, 0.500, 0.262) [1 per cell]
Pb (0.956, 0.500, 0.720) [1 per cell]

Results
As for the formation energy: 116 meV per atom. Its density of states at the Fermi level is 1.33 states/eV per cell. Its energy is -3.21 eV/atom.


Record 2
Entry from the Alexandria database: crystalline Ca3OsO8 at its relaxed geometry (PBE).

Unit cell a=5.349 b=5.349 c=10.791 alpha=90.00 beta=90.00 gamma=90.00
Space group I4/mmm (No. 139)
One atom of each set of equivalent atoms:
Ca (0.000, 0.000, 0.000) [2 per cell]
Ca (0.000, 0.500, 0.250) [4 per cell]
Os (0.000, 0.000, 0.500) [2 per cell]
O (0.219, 0.219, 0.389) [16 per cell]

Results
The calculation puts the formation energy from raw total energies at -1.50 eV/atom. Its density of states at the Fermi level is 14.80 states/eV per cell. Its energy is -6.24 eV/atom.


Record 3
Entry from the Alexandria database: crystalline TlReHg4 at its relaxed geometry (PBE).

Unit cell a=8.392 b=8.392 c=8.392 alpha=90.00 beta=90.00 gamma=90.00
Space group F-43m (No. 216)
One atom of each set of equivalent atoms:
Tl (0.000, 0.000, 0.000) [4 per cell]
Re (0.250, 0.250, 0.250) [4 per cell]
Hg (0.124, 0.124, 0.624) [16 per cell]

Results
As for the formation energy: 951 meV per atom. Its density of states at the Fermi level is 11.69 states/eV per cell. Its energy is -1.72 eV/atom.


Record 4
Entry from the Alexandria database: crystalline K2LaHfSe4 at its relaxed geometry (PBE).

Unit cell a=7.268 b=4.135 c=8.075 alpha=90.00 beta=106.90 gamma=90.00
Space group P2/m (No. 10)
One atom of each set of equivalent atoms:
K (0.000, 0.000, 0.000) [1 per cell]
K (0.500, 0.500, 0.000) [1 per cell]
La (0.000, 0.500, 0.500) [1 per cell]
Hf (0.500, 0.000, 0.500) [1 per cell]
Se (0.264, 0.000, 0.711) [2 per cell]
Se (0.290, 0.500, 0.300) [2 per cell]

Results
The calculation puts the formation energy from raw total energies at -1.50 eV/atom. Its density of states at the Fermi level is 3.35 states/eV per cell. Its energy is -5.38 eV/atom.


Record 5
Entry from the Alexandria database: crystalline DyZrBeRu at its relaxed geometry (PBE).

Unit cell a=6.664 b=6.664 c=6.664 alpha=90.00 beta=90.00 gamma=90.00
Space group F-43m (No. 216)
One atom of each set of equivalent atoms:
Dy (0.000, 0.000, 0.000) [4 per cell]
Zr (0.000, 0.000, 0.500) [4 per cell]
Be (0.250, 0.250, 0.750) [4 per cell]
Ru (0.250, 0.250, 0.250) [4 per cell]

Results
As for the formation energy: -169 meV per atom. Its density of states at the Fermi level is 9.01 states/eV per cell. Its energy is -6.71 eV/atom.


Record 6
Entry from the Alexandria database: crystalline Tb6Dy2Se3 at its relaxed geometry (PBE).

Unit cell a=3.8075 b=3.8075 c=75.7756 alpha=90.00 beta=90.00 gamma=120.00
Space group R-3m (No. 166, hexagonal axes)
One atom of each set of equivalent atoms:
Tb (0.0000, 0.0000, 0.0736) [6 per cell]
Tb (0.0000, 0.0000, 0.1851) [6 per cell]
Tb (0.0000, 0.0000, 0.3578) [6 per cell]
Dy (0.0000, 0.0000, 0.4442) [6 per cell]
Se (0.0000, 0.0000, 0.0000) [3 per cell]
Se (0.0000, 0.0000, 0.2848) [6 per cell]

Results
The calculation puts the formation energy from raw total energies at -0.89 eV/atom. Its density of states at the Fermi level is 31.96 states/eV per cell. Its energy is -5.20 eV/atom.


Record 7
Entry from the Alexandria database: crystalline LiMg2Zn2 at its relaxed geometry (PBE).

Unit cell a=4.238 b=4.238 c=12.031 alpha=90.00 beta=90.00 gamma=90.00
Space group I4/mmm (No. 139)
One atom of each set of equivalent atoms:
Li (0.000, 0.000, 0.000) [2 per cell]
Mg (0.000, 0.500, 0.250) [4 per cell]
Zn (0.000, 0.000, 0.400) [4 per cell]

Results
As for the formation energy: 58 meV per atom. Its density of states at the Fermi level is 4.06 states/eV per cell. Its energy is -1.47 eV/atom.


Record 8
Entry from the Alexandria database: crystalline LaSbTe2Au at its relaxed geometry (PBE).

Unit cell a=5.505 b=5.505 c=5.305 alpha=90.00 beta=90.00 gamma=90.00
Space group P4/mmm (No. 123)
One atom of each set of equivalent atoms:
La (0.000, 0.000, 0.000) [1 per cell]
Sb (0.500, 0.500, 0.000) [1 per cell]
Te (0.000, 0.500, 0.500) [2 per cell]
Au (0.500, 0.500, 0.500) [1 per cell]

Results
The calculation puts the formation energy from raw total energies at -0.28 eV/atom. Its density of states at the Fermi level is 3.83 states/eV per cell. Its energy is -4.00 eV/atom.


Record 9
Entry from the Alexandria database: crystalline La8Ru3Rh at its relaxed geometry (PBE).

Unit cell a=17.295 b=5.673 c=9.145 alpha=90.00 beta=108.30 gamma=90.00
Space group Cm (No. 8)
One atom of each set of equivalent atoms:
La (0.000, 0.000, 0.000) [2 per cell]
La (0.039, 0.500, 0.314) [2 per cell]
La (0.103, 0.000, 0.652) [2 per cell]
La (0.214, 0.000, 0.338) [2 per cell]
La (0.274, 0.500, 0.680) [2 per cell]
La (0.314, 0.000, 0.002) [2 per cell]
La (0.382, 0.500, 0.326) [2 per cell]
La (0.428, 0.000, 0.662) [2 per cell]
Ru (0.052, 0.000, 0.291) [2 per cell]
Ru (0.259, 0.000, 0.695) [2 per cell]
Ru (0.362, 0.000, 0.297) [2 per cell]
Rh (0.446, 0.500, 0.684) [2 per cell]

Results
As for the formation energy: -282 meV per atom. Its density of states at the Fermi level is 17.43 states/eV per cell. Its energy is -6.50 eV/atom.


Record 10
Entry from the Alexandria database: crystalline YZr2Tl2 at its relaxed geometry (PBE).

Unit cell a=8.844 b=8.844 c=3.223 alpha=90.00 beta=90.00 gamma=90.00
Space group P4/mbm (No. 127)
One atom of each set of equivalent atoms:
Y (0.000, 0.000, 0.000) [2 per cell]
Zr (0.121, 0.379, 0.000) [4 per cell]
Tl (0.176, 0.676, 0.500) [4 per cell]

Results
As for the formation energy: 26 meV per atom. Its density of states at the Fermi level is 7.88 states/eV per cell. Its energy is -5.63 eV/atom.


Record 11
Entry from the Alexandria database: crystalline Tc2AuO at its relaxed geometry (PBE).

Unit cell a=4.614 b=4.614 c=12.765 alpha=90.00 beta=90.00 gamma=90.00
Space group I-42d (No. 122)
One atom of each set of equivalent atoms:
Tc (0.102, 0.250, 0.125) [8 per cell]
Au (0.000, 0.000, 0.500) [4 per cell]
O (0.000, 0.000, 0.000) [4 per cell]

Results
The calculation puts the formation energy from raw total energies at 0.40 eV/atom. Its density of states at the Fermi level is 18.24 states/eV per cell. Its energy is -6.85 eV/atom.


Record 12
Entry from the Alexandria database: crystalline TiGaCuAu at its relaxed geometry (PBE).

Unit cell a=4.084 b=4.084 c=7.446 alpha=90.00 beta=90.00 gamma=90.00
Space group I-4m2 (No. 119)
One atom of each set of equivalent atoms:
Ti (0.000, 0.000, 0.000) [2 per cell]
Ga (0.000, 0.000, 0.500) [2 per cell]
Cu (0.000, 0.500, 0.750) [2 per cell]
Au (0.000, 0.500, 0.250) [2 per cell]

Results
As for the formation energy: -249 meV per atom. Its density of states at the Fermi level is 5.32 states/eV per cell. Its energy is -4.82 eV/atom.


Record 13
Entry from the Alexandria database: crystalline Zr2IrPt at its relaxed geometry (PBE).

Unit cell a=6.689 b=3.839 c=6.775 alpha=90.00 beta=108.99 gamma=90.00
Space group C2/m (No. 12)
One atom of each set of equivalent atoms:
Zr (0.247, 0.000, 0.240) [4 per cell]
Ir (0.000, 0.500, 0.000) [2 per cell]
Pt (0.000, 0.000, 0.500) [2 per cell]

Results
As for the formation energy: -653 meV per atom. Its density of states at the Fermi level is 4.36 states/eV per cell. Its energy is -8.65 eV/atom.


Record 14
Entry from the Alexandria database: crystalline Mn2OsPd at its relaxed geometry (PBE).

Unit cell a=3.056 b=3.056 c=6.100 alpha=90.00 beta=90.00 gamma=90.00
Space group P4/mmm (No. 123)
One atom of each set of equivalent atoms:
Mn (0.000, 0.000, 0.242) [2 per cell]
Os (0.500, 0.500, 0.000) [1 per cell]
Pd (0.500, 0.500, 0.500) [1 per cell]

Results
As for the formation energy: 31 meV per atom. Its density of states at the Fermi level is 2.59 states/eV per cell. Its energy is -8.66 eV/atom.


Record 15
Entry from the Alexandria database: crystalline KOs3Cl at its relaxed geometry (PBE).

Unit cell a=4.953 b=4.953 c=4.953 alpha=90.00 beta=90.00 gamma=90.00
Space group Pm-3m (No. 221)
One atom of each set of equivalent atoms:
K (0.000, 0.000, 0.000) [1 per cell]
Os (0.000, 0.000, 0.500) [3 per cell]
Cl (0.500, 0.500, 0.500) [1 per cell]

Results
The calculation puts the formation energy from raw total energies at 4.12 eV/atom. Its density of states at the Fermi level is 5.17 states/eV per cell. Its energy is -3.21 eV/atom.


Record 16
Entry from the Alexandria database: crystalline ZnTc3W at its relaxed geometry (PBE).

Unit cell a=4.408 b=4.408 c=4.408 alpha=90.00 beta=90.00 gamma=90.00
Space group Pm-3m (No. 221)
One atom of each set of equivalent atoms:
Zn (0.000, 0.000, 0.000) [1 per cell]
Tc (0.000, 0.000, 0.500) [3 per cell]
W (0.500, 0.500, 0.500) [1 per cell]

Results
As for the formation energy: 1715 meV per atom. Its density of states at the Fermi level is 6.93 states/eV per cell. Its energy is -7.35 eV/atom.


Record 17
Entry from the Alexandria database: crystalline SmMg3Tl3 at its relaxed geometry (PBE).

Unit cell a=7.752 b=7.752 c=7.752 alpha=90.00 beta=90.00 gamma=90.00
Space group Pm-3n (No. 223)
One atom of each set of equivalent atoms:
Sm (0.000, 0.000, 0.000) [2 per cell]
Mg (0.000, 0.250, 0.500) [6 per cell]
Tl (0.000, 0.500, 0.250) [6 per cell]

Results
As for the formation energy: 424 meV per atom. Its density of states at the Fermi level is 13.34 states/eV per cell. Its energy is -1.95 eV/atom.


Record 18
Entry from the Alexandria database: crystalline CaLaAgSb at its relaxed geometry (PBE).

Unit cell a=7.671 b=7.671 c=7.671 alpha=90.00 beta=90.00 gamma=90.00
Space group F-43m (No. 216)
One atom of each set of equivalent atoms:
Ca (0.000, 0.000, 0.000) [4 per cell]
La (0.000, 0.000, 0.500) [4 per cell]
Ag (0.250, 0.250, 0.750) [4 per cell]
Sb (0.250, 0.250, 0.250) [4 per cell]

Results
The calculation puts the formation energy from raw total energies at -0.65 eV/atom. Its density of states at the Fermi level is 14.91 states/eV per cell. Its energy is -4.13 eV/atom.